Below is crystalline YMgReW at its relaxed geometry, with properties calculated at the PBE level.

Properties
total energy = -7.992 eV per atom

```
data_YMgReW
_symmetry_space_group_name_H-M 'P 1'
_symmetry_Int_Tables_number 1
_cell_length_a 4.695
_cell_length_b 4.695
_cell_length_c 4.695
_cell_angle_alpha 60.00
_cell_angle_beta 60.00
_cell_angle_gamma 60.00
loop_
_symmetry_equiv_pos_as_xyz
'x,y,z'
loop_
_atom_site_label
_atom_site_fract_x
_atom_site_fract_y
_atom_site_fract_z
Y1 0.000 0.000 0.000
Mg1 0.250 0.250 0.250
Re1 0.500 0.500 0.500
W1 0.750 0.750 0.750
```

---

Below is crystalline YMgReW at its relaxed geometry, with properties calculated at the PBE level.

Properties
total energy = -7.999 eV per atom

```
data_YMgReW
_symmetry_space_group_name_H-M 'P 1'
_symmetry_Int_Tables_number 1
_cell_length_a 4.713
_cell_length_b 4.713
_cell_length_c 4.713
_cell_angle_alpha 60.00
_cell_angle_beta 60.00
_cell_angle_gamma 60.00
loop_
_symmetry_equiv_pos_as_xyz
'x,y,z'
loop_
_atom_site_label
_atom_site_fract_x
_atom_site_fract_y
_atom_site_fract_z
Y1 0.000 0.000 0.000
Mg1 0.250 0.250 0.250
Re1 0.750 0.750 0.750
W1 0.500 0.500 0.500
```

---

Below is crystalline YMgReW at its relaxed geometry, with properties calculated at the PBE level.

Properties
total energy = -7.417 eV per atom

```
data_YMgReW
_symmetry_space_group_name_H-M 'P 1'
_symmetry_Int_Tables_number 1
_cell_length_a 4.728
_cell_length_b 4.728
_cell_length_c 4.728
_cell_angle_alpha 60.00
_cell_angle_beta 60.00
_cell_angle_gamma 60.00
loop_
_symmetry_equiv_pos_as_xyz
'x,y,z'
loop_
_atom_site_label
_atom_site_fract_x
_atom_site_fract_y
_atom_site_fract_z
Y1 0.000 0.000 0.000
Mg1 0.500 0.500 0.500
Re1 0.250 0.250 0.250
W1 0.750 0.750 0.750
```

---

Below is crystalline Y2Mg3Re at its relaxed geometry, with properties calculated at the PBE level.

Properties
total energy = -4.888 eV per atom

```
data_Y2Mg3Re
_symmetry_space_group_name_H-M 'P 1'
_symmetry_Int_Tables_number 1
_cell_length_a 5.629
_cell_length_b 5.629
_cell_length_c 9.819
_cell_angle_alpha 90.00
_cell_angle_beta 90.00
_cell_angle_gamma 120.00
loop_
_symmetry_equiv_pos_as_xyz
'x,y,z'
loop_
_atom_site_label
_atom_site_fract_x
_atom_site_fract_y
_atom_site_fract_z
Y1 0.333 0.667 0.049
Y2 0.333 0.667 0.451
Y3 0.667 0.333 0.549
Y4 0.667 0.333 0.951
Mg1 0.162 0.324 0.750
Mg2 0.162 0.838 0.750
Mg3 0.324 0.162 0.250
Mg4 0.676 0.838 0.750
Mg5 0.838 0.162 0.250
Mg6 0.838 0.676 0.250
Re1 0.000 0.000 0.000
Re2 0.000 0.000 0.500
```

---

Below is crystalline MgZnSeS at its relaxed geometry, with properties calculated at the PBE level.

Properties
total energy = -3.666 eV per atom

```
data_MgZnSeS
_symmetry_space_group_name_H-M 'P 1'
_symmetry_Int_Tables_number 1
_cell_length_a 4.042
_cell_length_b 4.042
_cell_length_c 6.573
_cell_angle_alpha 90.00
_cell_angle_beta 90.00
_cell_angle_gamma 120.00
loop_
_symmetry_equiv_pos_as_xyz
'x,y,z'
loop_
_atom_site_label
_atom_site_fract_x
_atom_site_fract_y
_atom_site_fract_z
Mg1 0.000 0.000 0.000
Zn1 0.333 0.667 0.526
Se1 0.000 0.000 0.397
S1 0.333 0.667 0.886
```

---

Below is crystalline MgTa2S5 at its relaxed geometry, with properties calculated at the PBE level.

Properties
total energy = -6.691 eV per atom

```
data_MgTa2S5
_symmetry_space_group_name_H-M 'P 1'
_symmetry_Int_Tables_number 1
_cell_length_a 6.864
_cell_length_b 6.864
_cell_length_c 15.287
_cell_angle_alpha 90.00
_cell_angle_beta 90.00
_cell_angle_gamma 150.81
loop_
_symmetry_equiv_pos_as_xyz
'x,y,z'
loop_
_atom_site_label
_atom_site_fract_x
_atom_site_fract_y
_atom_site_fract_z
Mg1 0.122 0.878 0.750
Mg2 0.878 0.122 0.250
Ta1 0.295 0.705 0.080
Ta2 0.295 0.705 0.420
Ta3 0.705 0.295 0.580
Ta4 0.705 0.295 0.920
S1 0.071 0.929 0.601
S2 0.071 0.929 0.899
S3 0.251 0.749 0.250
S4 0.339 0.661 0.574
S5 0.339 0.661 0.926
S6 0.661 0.339 0.074
S7 0.661 0.339 0.426
S8 0.749 0.251 0.750
S9 0.929 0.071 0.101
S10 0.929 0.071 0.399
```